First-principles (PBE) data for an optimized crystal structure of CaPu2Pb9, as listed in Alexandria via LeMat-Bulk.

Its calculated volume is 29.2 Å³/atom. The crystal system is tetragonal. The density of states at the Fermi level comes out at 25.825 states/eV/cell. For the formation energy, the calculation gives -0.210 eV per atom.

The space group is P4/mmm (No. 123) and the conventional cell measures 4.8878, 4.8878 and 14.6904 Å, with angles of 90.00, 90.00 and 90.00 degrees. Symmetry generates all atoms from Ca at (0.0000, 0.0000, 0.0000), Pu at (0.0000, 0.0000, 0.3373), Pb at (0.0000, 0.5000, 0.1684), Pb at (0.0000, 0.5000, 0.5000), Pb at (0.5000, 0.5000, 0.0000) and Pb at (0.5000, 0.5000, 0.3336).

***

First-principles (PBE) data for an optimized crystal structure of Ca4PuPb5, as listed in Alexandria via LeMat-Bulk.

Its calculated volume is 29.4 Å³/atom. The crystal system is tetragonal. The density of states at the Fermi level comes out at 11.700 states/eV/cell. For the formation energy, the calculation gives -0.193 eV per atom.

The space group is P4/mmm (No. 123) and the conventional cell measures 3.6056, 3.6056 and 22.5813 Å, with angles of 90.00, 90.00 and 90.00 degrees. Symmetry generates all atoms from Ca at (0.0000, 0.0000, 0.1010), Ca at (0.0000, 0.0000, 0.3012), Pu at (0.0000, 0.0000, 0.5000), Pb at (0.5000, 0.5000, 0.0000), Pb at (0.5000, 0.5000, 0.2017) and Pb at (0.5000, 0.5000, 0.4039).

***

First-principles (PBE) data for an optimized crystal structure of Ca2PuPb3, as listed in Alexandria via LeMat-Bulk.

Its calculated volume is 29.3 Å³/atom. The crystal system is tetragonal. The density of states at the Fermi level comes out at 9.869 states/eV/cell. For the formation energy, the calculation gives -0.393 eV per atom.

The space group is P4/mmm (No. 123) and the conventional cell measures 3.5520, 3.5520 and 13.9135 Å, with angles of 90.00, 90.00 and 90.00 degrees. Symmetry generates all atoms from Ca at (0.0000, 0.0000, 0.1658), Pu at (0.0000, 0.0000, 0.5000), Pb at (0.5000, 0.5000, 0.0000) and Pb at (0.5000, 0.5000, 0.3341).

***

First-principles (PBE) data for an optimized crystal structure of CaPuPb2, as listed in Alexandria via LeMat-Bulk.

Its calculated volume is 28.9 Å³/atom. The crystal system is tetragonal. The density of states at the Fermi level comes out at 8.118 states/eV/cell. For the formation energy, the calculation gives -0.337 eV per atom.

The space group is P4/mmm (No. 123) and the conventional cell measures 3.5230, 3.5230 and 9.3181 Å, with angles of 90.00, 90.00 and 90.00 degrees. Symmetry generates all atoms from Ca at (0.0000, 0.0000, 0.0000), Pu at (0.0000, 0.0000, 0.5000) and Pb at (0.5000, 0.5000, 0.2515).

***

First-principles (PBE) data for an optimized crystal structure of CaPuPb4, as listed in Alexandria via LeMat-Bulk.

Its calculated volume is 32.1 Å³/atom. The crystal system is cubic. The density of states at the Fermi level comes out at 79.584 states/eV/cell. For the formation energy, the calculation gives -0.090 eV per atom.

The space group is F-43m (No. 216) and the conventional cell measures 9.1695, 9.1695 and 9.1695 Å, with angles of 90.00, 90.00 and 90.00 degrees. Symmetry generates all atoms from Ca at (0.0000, 0.0000, 0.0000), Pu at (0.2500, 0.2500, 0.7500) and Pb at (0.1246, 0.1246, 0.3754).

***

First-principles (PBE) data for an optimized crystal structure of CaPu2Pb3, as listed in Alexandria via LeMat-Bulk.

Its calculated volume is 28.5 Å³/atom. The crystal system is tetragonal. The density of states at the Fermi level comes out at 15.461 states/eV/cell. For the formation energy, the calculation gives -0.282 eV per atom.

The space group is P4/mmm (No. 123) and the conventional cell measures 3.4942, 3.4942 and 14.0136 Å, with angles of 90.00, 90.00 and 90.00 degrees. Symmetry generates all atoms from Ca at (0.0000, 0.0000, 0.0000), Pu at (0.0000, 0.0000, 0.3341), Pb at (0.5000, 0.5000, 0.1677) and Pb at (0.5000, 0.5000, 0.5000).

***

First-principles (PBE) data for an optimized crystal structure of CaPuPb2, as listed in Alexandria via LeMat-Bulk.

Its calculated volume is 29.6 Å³/atom. The crystal system is tetragonal. The density of states at the Fermi level comes out at 13.539 states/eV/cell. For the formation energy, the calculation gives -0.263 eV per atom.

The space group is P4/mmm (No. 123) and the conventional cell measures 5.7629, 5.7629 and 3.5629 Å, with angles of 90.00, 90.00 and 90.00 degrees. Symmetry generates all atoms from Ca at (0.0000, 0.0000, 0.0000), Pu at (0.5000, 0.5000, 0.0000) and Pb at (0.0000, 0.5000, 0.5000).

***

First-principles (PBE) data for an optimized crystal structure of Ca3PuPb12, as listed in Alexandria via LeMat-Bulk.

Its calculated volume is 29.8 Å³/atom. The crystal system is tetragonal. The density of states at the Fermi level comes out at 20.028 states/eV/cell. For the formation energy, the calculation gives -0.274 eV per atom.

The space group is P4/mmm (No. 123) and the conventional cell measures 4.9218, 4.9218 and 19.7137 Å, with angles of 90.00, 90.00 and 90.00 degrees. Symmetry generates all atoms from Ca at (0.0000, 0.0000, 0.0000), Ca at (0.0000, 0.0000, 0.2534), Pu at (0.0000, 0.0000, 0.5000), Pb at (0.0000, 0.5000, 0.1257), Pb at (0.0000, 0.5000, 0.3768), Pb at (0.5000, 0.5000, 0.0000), Pb at (0.5000, 0.5000, 0.2510) and Pb at (0.5000, 0.5000, 0.5000).

***

First-principles (PBE) data for an optimized crystal structure of CaPuPb2, as listed in Alexandria via LeMat-Bulk.

Its calculated volume is 34.5 Å³/atom. The crystal system is trigonal. The density of states at the Fermi level comes out at 53.622 states/eV/cell. For the formation energy, the calculation gives -0.032 eV per atom.

The space group is R3m (No. 160, hexagonal axes) and the conventional cell measures 4.8572, 4.8572 and 20.2716 Å, with angles of 90.00, 90.00 and 120.00 degrees. Symmetry generates all atoms from Ca at (0.0000, 0.0000, 0.0000), Pu at (0.0000, 0.0000, 0.8191), Pb at (0.0000, 0.0000, 0.2384) and Pb at (0.0000, 0.0000, 0.4093).

***

First-principles (PBE) data for an optimized crystal structure of CaPuRhPb, as listed in Alexandria via LeMat-Bulk.

Its calculated volume is 24.6 Å³/atom. The crystal system is cubic. The density of states at the Fermi level comes out at 39.245 states/eV/cell. For the formation energy, the calculation gives -0.179 eV per atom.

The space group is F-43m (No. 216) and the conventional cell measures 7.3309, 7.3309 and 7.3309 Å, with angles of 90.00, 90.00 and 90.00 degrees. Symmetry generates all atoms from Ca at (0.0000, 0.0000, 0.0000), Pu at (0.0000, 0.0000, 0.5000), Rh at (0.2500, 0.2500, 0.7500) and Pb at (0.2500, 0.2500, 0.2500).

***

First-principles (PBE) data for an optimized crystal structure of CaPuSnPb, as listed in Alexandria via LeMat-Bulk.

Its calculated volume is 28.9 Å³/atom. The crystal system is cubic. The density of states at the Fermi level comes out at 51.621 states/eV/cell. For the formation energy, the calculation gives -0.331 eV per atom. The distance to the lowest polymorph of the same formula comes out at 83 meV/atom.

The space group is F-43m (No. 216) and the conventional cell measures 7.7360, 7.7360 and 7.7360 Å, with angles of 90.00, 90.00 and 90.00 degrees. Symmetry generates all atoms from Ca at (0.0000, 0.0000, 0.0000), Pu at (0.0000, 0.0000, 0.5000), Sn at (0.2500, 0.2500, 0.7500) and Pb at (0.2500, 0.2500, 0.2500).

***

First-principles (PBE) data for an optimized crystal structure of CaPuSnPb, as listed in Alexandria via LeMat-Bulk.

Its calculated volume is 28.0 Å³/atom. The crystal system is tetragonal. The density of states at the Fermi level comes out at 7.819 states/eV/cell. For the formation energy, the calculation gives -0.414 eV per atom. The distance to the lowest polymorph of the same formula comes out at 0 meV/atom.

The space group is P4mm (No. 99) and the conventional cell measures 3.4785, 3.4785 and 9.2458 Å, with angles of 90.00, 90.00 and 90.00 degrees. Symmetry generates all atoms from Ca at (0.0000, 0.0000, 0.0000), Pu at (0.0000, 0.0000, 0.5138), Sn at (0.5000, 0.5000, 0.7540) and Pb at (0.5000, 0.5000, 0.2586).

***

First-principles (PBE) data for an optimized crystal structure of CaPu2Te4Pb, as listed in Alexandria via LeMat-Bulk.

Its calculated volume is 33.2 Å³/atom. The crystal system is monoclinic. Its uncorrected formation energy is -0.963 eV/atom. The density of states at the Fermi level comes out at 35.210 states/eV/cell.

The space group is P2/m (No. 10) and the conventional cell measures 7.8932, 4.5231 and 7.8997 Å, with angles of 90.00, 109.59 and 90.00 degrees. Symmetry generates all atoms from Ca at (0.0000, 0.0000, 0.0000), Pu at (0.0000, 0.5000, 0.5000), Pu at (0.5000, 0.0000, 0.5000), Te at (0.2419, 0.0000, 0.7416), Te at (0.2475, 0.5000, 0.2539) and Pb at (0.5000, 0.5000, 0.0000).

***

First-principles (PBE) data for an optimized crystal structure of CaPuZnPb, as listed in Alexandria via LeMat-Bulk.

Its calculated volume is 27.2 Å³/atom. The crystal system is cubic. The density of states at the Fermi level comes out at 45.275 states/eV/cell. For the formation energy, the calculation gives -0.211 eV per atom.

The space group is F-43m (No. 216) and the conventional cell measures 7.5804, 7.5804 and 7.5804 Å, with angles of 90.00, 90.00 and 90.00 degrees. Symmetry generates all atoms from Ca at (0.0000, 0.0000, 0.0000), Pu at (0.0000, 0.0000, 0.5000), Zn at (0.2500, 0.2500, 0.2500) and Pb at (0.2500, 0.2500, 0.7500).